Below is a relaxed structure of BaSrBAu, with properties calculated at the PBE level.

Cell: 7.262 7.262 7.262 Å, 90.00 90.00 90.00°
Atoms (fractional coordinates):
1 Ba 0.000 0.000 0.000
2 Ba 0.000 0.500 0.500
3 Ba 0.500 0.000 0.500
4 Ba 0.500 0.500 0.000
5 Sr 0.250 0.250 0.250
6 Sr 0.250 0.750 0.750
7 Sr 0.750 0.250 0.750
8 Sr 0.750 0.750 0.250
9 B 0.250 0.250 0.750
10 B 0.250 0.750 0.250
11 B 0.750 0.250 0.250
12 B 0.750 0.750 0.750
13 Au 0.000 0.000 0.500
14 Au 0.000 0.500 0.000
15 Au 0.500 0.000 0.000
16 Au 0.500 0.500 0.500

Results
Distance to the lowest polymorph of the same formula, eV per formula unit: 0.98
DFT total energy, eV/atom: -2.920
SG: F-43m (216)